(w)
# Cs2NaCdH

An optimized crystal structure of Cs2NaCdH (PBE, Alexandria).

```
Cs2NaCdH
1.0
5.9820 0.0000 0.0000
0.0000 5.9820 0.0000
0.0000 0.0000 6.0147
Cs Na H Cd
2 1 1 1
direct
0.0000 0.5000 0.0000 Cs
0.5000 0.0000 0.0000 Cs
0.5000 0.5000 0.5000 Na
0.0000 0.0000 0.0000 H
0.0000 0.0000 0.5000 Cd
```

## Properties
The calculation puts the calculated volume at 215.2 Å³/cell. Its symmetry is No. 123.



(x)
# Cs2NaCdH

An optimized crystal structure of Cs2NaCdH (PBE, Alexandria).

```
Cs2NaCdH
1.0
6.2979 0.0000 0.0000
0.0000 6.2979 0.0000
0.0000 0.0000 5.1552
Cs Na H Cd
2 1 1 1
direct
0.0000 0.5000 0.0000 Cs
0.5000 0.0000 0.0000 Cs
0.0000 0.0000 0.5000 Na
0.0000 0.0000 0.0000 H
0.5000 0.5000 0.5000 Cd
```

## Properties
The calculation puts the calculated volume at 204.5 Å³/cell. Its symmetry is No. 123.



Relative energy of each structure, in meV per atom: (w) 44; (x) 0.



(w)
# CsHf2Cd2

An optimized crystal structure of CsHf2Cd2 (PBE, Alexandria).

```
CsHf2Cd2
1.0
-2.9954 -0.5021 2.8529
1.6611 -3.6599 1.0999
4.8123 2.3702 8.5130
Cs Hf Cd
1 2 2
direct
0.0000 0.0000 0.0000 Cs
0.7500 0.2500 0.5000 Hf
0.2500 0.7500 0.5000 Hf
0.3663 0.3663 0.2674 Cd
0.6337 0.6337 0.7326 Cd
```

## Properties
The calculation puts the calculated volume at 167.1 Å³/cell. Its symmetry is No. 139.



(x)
# CsHf2Cd2

An optimized crystal structure of CsHf2Cd2 (PBE, Alexandria).

```
CsHf2Cd2
1.0
9.5164 0.0000 0.0000
0.0000 9.5164 0.0000
0.0000 0.0000 3.1203
Cs Hf Cd
2 4 4
direct
0.0000 0.0000 0.0000 Cs
0.5000 0.5000 0.0000 Cs
0.1145 0.6145 0.5000 Hf
0.6145 0.8855 0.5000 Hf
0.8855 0.3855 0.5000 Hf
0.3855 0.1145 0.5000 Hf
0.3279 0.8279 0.0000 Cd
0.8279 0.6721 0.0000 Cd
0.6721 0.1721 0.0000 Cd
0.1721 0.3279 0.0000 Cd
```

## Properties
The calculation puts the calculated volume at 282.6 Å³/cell. Its symmetry is No. 127.



Relative energy of each structure, in meV per atom: (w) 0; (x) 74.



(w)
# CsHf3Cd

An optimized crystal structure of CsHf3Cd (PBE, Alexandria).

```
CsHf3Cd
1.0
5.2535 0.0000 0.0000
0.0000 5.2535 0.0000
0.0000 0.0000 5.2535
Cs Hf Cd
1 3 1
direct
0.0000 0.0000 0.0000 Cs
0.0000 0.5000 0.0000 Hf
0.0000 0.0000 0.5000 Hf
0.5000 0.0000 0.0000 Hf
0.5000 0.5000 0.5000 Cd
```

## Properties
The calculation puts the calculated volume at 145.0 Å³/cell. Its symmetry is No. 221.



(x)
# CsHf3Cd

An optimized crystal structure of CsHf3Cd (PBE, Alexandria).

```
CsHf3Cd
1.0
-2.2798 -2.8869 3.9743
-2.4339 -3.1419 -3.6785
4.2668 -3.3348 0.0252
Cs Hf Cd
1 3 1
direct
0.5000 0.5000 0.5000 Cs
0.0000 0.5000 0.0000 Hf
0.0000 0.0000 0.5000 Hf
0.5000 0.0000 0.0000 Hf
0.0000 0.0000 0.0000 Cd
```

## Properties
The calculation puts the calculated volume at 158.8 Å³/cell. Its symmetry is No. 221.



Relative energy of each structure, in meV per atom: (w) 708; (x) 0.



(w)
# CsCdHg4

An optimized crystal structure of CsCdHg4 (PBE, Alexandria).

```
CsCdHg4
1.0
-0.7157 6.4076 -1.2313
-4.8785 2.0732 -3.8714
-5.0611 3.2917 2.5759
Cs Hg Cd
1 4 1
direct
0.2500 0.2500 0.2500 Cs
0.6260 0.6260 0.1219 Hg
0.6260 0.1219 0.6260 Hg
0.6260 0.6260 0.6260 Hg
0.1219 0.6260 0.6260 Hg
0.0000 0.0000 0.0000 Cd
```

## Properties
The calculation puts the calculated volume at 200.0 Å³/cell. Its symmetry is No. 216.



(x)
# CsCdHg4

An optimized crystal structure of CsCdHg4 (PBE, Alexandria).

```
CsCdHg4
1.0
4.6669 0.0054 2.1615
0.7873 6.5629 4.3834
-0.7784 1.3476 7.7771
Cs Cd Hg
1 1 4
direct
0.0019 0.5027 0.4987 Cs
0.5025 0.0027 0.9987 Cd
0.6897 0.0703 0.5554 Hg
0.3136 0.9351 0.4420 Hg
0.3136 0.4460 0.9311 Hg
0.6897 0.5594 0.0663 Hg
```

## Properties
The calculation puts the calculated volume at 223.9 Å³/cell. Its symmetry is No. 12.



(y)
# CsCdHg4

An optimized crystal structure of CsCdHg4 (PBE, Alexandria).

```
CsCdHg4
1.0
5.9068 0.0000 0.0000
0.0000 7.9859 0.0000
-2.9534 0.0000 8.7390
Cs Cd Hg
2 2 8
direct
0.3976 0.7500 0.7951 Cs
0.6024 0.2500 0.2049 Cs
0.1268 0.7500 0.2536 Cd
0.8732 0.2500 0.7464 Cd
0.2246 0.4436 0.4493 Hg
0.7754 0.5564 0.5507 Hg
0.2246 0.0564 0.4493 Hg
0.7754 0.9436 0.5507 Hg
0.6159 0.7500 0.2317 Hg
0.3841 0.2500 0.7683 Hg
0.0000 0.5000 0.0000 Hg
0.0000 0.0000 0.0000 Hg
```

## Properties
The calculation puts the calculated volume at 412.2 Å³/cell. Its symmetry is No. 63.



Relative energy of each structure, in meV per atom: (w) 41; (x) 26; (y) 0.



(w)
# Cs3CdHg

An optimized crystal structure of Cs3CdHg (PBE, Alexandria).

```
Cs3CdHg
1.0
-5.2976 1.2783 7.9973
-0.0610 -11.3994 1.7816
9.7614 5.4574 5.5939
Cs Cd Hg
12 4 4
direct
0.1618 0.6258 0.7992 Cs
0.8382 0.3742 0.2008 Cs
0.6618 0.8742 0.2008 Cs
0.3382 0.1258 0.7992 Cs
0.6770 0.5141 0.8441 Cs
0.3230 0.4859 0.1559 Cs
0.1770 0.9859 0.1559 Cs
0.8230 0.0141 0.8441 Cs
0.9991 0.2137 0.5601 Cs
0.0009 0.7863 0.4399 Cs
0.4991 0.2863 0.4399 Cs
0.5009 0.7137 0.5601 Cs
0.8586 0.5289 0.5502 Cd
0.1414 0.4711 0.4498 Cd
0.3586 0.9711 0.4498 Cd
0.6414 0.0289 0.5502 Cd
0.0213 0.3643 0.9134 Hg
0.9787 0.6357 0.0866 Hg
0.5213 0.1357 0.0866 Hg
0.4787 0.8643 0.9134 Hg
```

## Properties
The calculation puts the calculated volume at 1299.2 Å³/cell. Its symmetry is No. 14.



(x)
# Cs3CdHg

An optimized crystal structure of Cs3CdHg (PBE, Alexandria).

```
Cs3CdHg
1.0
-0.7835 2.3785 -6.8142
-2.5351 -6.5082 -1.9802
-6.7575 2.1658 1.5330
Cs Hg Cd
3 1 1
direct
0.0000 0.5000 0.0000 Cs
0.0000 0.0000 0.5000 Cs
0.5000 0.0000 0.0000 Cs
0.0000 0.0000 0.0000 Hg
0.5000 0.5000 0.5000 Cd
```

## Properties
The calculation puts the calculated volume at 382.6 Å³/cell. Its symmetry is No. 221.



Relative energy of each structure, in meV per atom: (w) 0; (x) 134.



(w)
# CsCdHg

An optimized crystal structure of CsCdHg (PBE, Alexandria).

```
CsCdHg
1.0
5.8758 0.0000 0.0000
2.9379 5.0886 0.0000
2.9379 1.6962 4.7976
Cs Hg Cd
1 1 1
direct
0.0000 0.0000 0.0000 Cs
0.2500 0.2500 0.2500 Hg
0.5000 0.5000 0.5000 Cd
```

## Properties
The calculation puts the calculated volume at 143.4 Å³/cell. Its symmetry is No. 216.



(x)
# CsCdHg

An optimized crystal structure of CsCdHg (PBE, Alexandria).

```
CsCdHg
1.0
7.4700 -0.5686 -0.7805
-0.9232 8.5007 -0.0805
-2.3970 -2.9932 8.4813
Hg Cs Cd
4 4 4
direct
0.3841 0.9489 0.1784 Hg
0.7246 0.6441 0.6669 Hg
0.6159 0.0511 0.8216 Hg
0.2754 0.3559 0.3331 Hg
0.2716 0.5961 0.7525 Cs
0.8894 0.9153 0.1943 Cs
0.7284 0.4039 0.2475 Cs
0.1106 0.0847 0.8057 Cs
0.1926 0.5687 0.1376 Cd
0.5009 0.8119 0.4623 Cd
0.8074 0.4313 0.8624 Cd
0.4991 0.1881 0.5377 Cd
```

## Properties
The calculation puts the calculated volume at 514.1 Å³/cell. Its symmetry is No. 2.



(y)
# CsCdHg

An optimized crystal structure of CsCdHg (PBE, Alexandria).

```
CsCdHg
1.0
4.2464 0.0000 0.0000
0.0000 4.2464 0.0000
-2.1232 -2.1232 6.4389
Cs Hg Cd
1 1 1
direct
0.0010 0.0010 0.0019 Cs
0.7082 0.7082 0.4165 Hg
0.2908 0.2908 0.5816 Cd
```

## Properties
The calculation puts the calculated volume at 116.1 Å³/cell. Its symmetry is No. 107.



Relative energy of each structure, in meV per atom: (w) 106; (x) 0; (y) 20.